La2PRhF | GGA-PBE | optimized geometry

## Properties
For the formation energy (no corrections), the calculation gives -83.8 kJ/mol of atoms. As for the symmetry: No. 123. The total moment comes out at 0.00 Bohr magnetons per cell.

Cell: 4.958 4.958 4.465 Å, 90.00 90.00 90.00°
Fractional positions:
La 0.000 0.500 0.000
La 0.500 0.000 0.000
P 0.000 0.000 0.500
Rh 0.500 0.500 0.500
F 0.000 0.000 0.000

=====

Na5Ca12In3 | GGA-PBE | optimized geometry

## Properties
The calculation puts the energy of formation from the pure elements at 0.25 eV per atom. As for the symmetry: No. 230. The total moment comes out at 0.00 Bohr magnetons per cell.

Cell: 16.544 16.544 16.544 Å, 109.47 109.47 109.47°
Fractional positions:
Na 0.000 0.000 0.000
Na 0.000 0.000 0.500
Na 0.000 0.500 0.000
Na 0.000 0.500 0.500
Na 0.125 0.750 0.875
Na 0.125 0.875 0.250
Na 0.250 0.125 0.875
Na 0.250 0.625 0.375
Na 0.375 0.250 0.625
Na 0.375 0.625 0.750
Na 0.500 0.000 0.000
Na 0.500 0.000 0.500
Na 0.500 0.500 0.000
Na 0.500 0.500 0.500
Na 0.625 0.375 0.250
Na 0.625 0.750 0.375
Na 0.750 0.375 0.625
Na 0.750 0.875 0.125
Na 0.875 0.125 0.750
Na 0.875 0.250 0.125
Ca 0.068 0.636 0.403
Ca 0.068 0.931 0.665
Ca 0.069 0.234 0.136
Ca 0.069 0.335 0.932
Ca 0.097 0.734 0.665
Ca 0.097 0.864 0.432
Ca 0.136 0.069 0.234
Ca 0.136 0.568 0.903
Ca 0.165 0.234 0.597
Ca 0.165 0.431 0.568
Ca 0.234 0.136 0.069
Ca 0.234 0.597 0.165
Ca 0.266 0.335 0.903
Ca 0.266 0.431 0.364
Ca 0.335 0.903 0.266
Ca 0.335 0.932 0.069
Ca 0.364 0.266 0.431
Ca 0.364 0.597 0.932
Ca 0.403 0.068 0.636
Ca 0.403 0.835 0.766
Ca 0.431 0.364 0.266
Ca 0.431 0.568 0.165
Ca 0.432 0.097 0.864
Ca 0.432 0.835 0.569
Ca 0.568 0.165 0.431
Ca 0.568 0.903 0.136
Ca 0.569 0.432 0.835
Ca 0.569 0.636 0.734
Ca 0.597 0.165 0.234
Ca 0.597 0.932 0.364
Ca 0.636 0.403 0.068
Ca 0.636 0.734 0.569
Ca 0.665 0.068 0.931
Ca 0.665 0.097 0.734
Ca 0.734 0.569 0.636
Ca 0.734 0.665 0.097
Ca 0.766 0.403 0.835
Ca 0.766 0.864 0.931
Ca 0.835 0.569 0.432
Ca 0.835 0.766 0.403
Ca 0.864 0.432 0.097
Ca 0.864 0.931 0.766
Ca 0.903 0.136 0.568
Ca 0.903 0.266 0.335
Ca 0.931 0.665 0.068
Ca 0.931 0.766 0.864
Ca 0.932 0.069 0.335
Ca 0.932 0.364 0.597
In 0.125 0.250 0.375
In 0.125 0.375 0.750
In 0.250 0.375 0.125
In 0.250 0.875 0.625
In 0.375 0.125 0.250
In 0.375 0.750 0.125
In 0.625 0.250 0.875
In 0.625 0.875 0.750
In 0.750 0.125 0.375
In 0.750 0.625 0.875
In 0.875 0.625 0.250
In 0.875 0.750 0.625

=====

Sc8Cd2Ag | GGA-PBE | optimized geometry

## Properties
The calculation puts the energy of formation from the pure elements at -0.12 eV per atom. As for the symmetry: No. 12. The total moment comes out at 0.00 Bohr magnetons per cell.

Cell: 7.909 7.909 7.872 Å, 118.93 118.93 36.28°
Fractional positions:
Sc 0.063 0.063 0.218
Sc 0.131 0.131 0.674
Sc 0.321 0.321 0.559
Sc 0.412 0.412 0.052
Sc 0.588 0.588 0.948
Sc 0.679 0.679 0.441
Sc 0.869 0.869 0.326
Sc 0.937 0.937 0.782
Cd 0.225 0.225 0.117
Cd 0.775 0.775 0.883
Ag 0.500 0.500 0.500

=====

SbPbCl2 | GGA-PBE | optimized geometry

## Properties
For the formation energy (no corrections), the calculation gives -23.2 kJ/mol of atoms. The value obtained for the excess energy over the best structure of this formula in the dataset is 296 meV/atom. As for the symmetry: No. 65. The total moment comes out at 0.00 Bohr magnetons per cell.

Cell: 6.657 9.322 3.302 Å, 90.00 90.00 90.00°
Fractional positions:
Sb 0.000 0.000 0.000
Sb 0.500 0.500 0.000
Pb 0.000 0.500 0.000
Pb 0.500 0.000 0.000
Cl 0.250 0.250 0.500
Cl 0.250 0.750 0.500
Cl 0.750 0.250 0.500
Cl 0.750 0.750 0.500

=====

CaMgGa2Au5 | GGA-PBE | optimized geometry

## Properties
The calculation puts the energy of formation from the pure elements at -0.36 eV per atom. As for the symmetry: No. 123. The total moment comes out at 0.00 Bohr magnetons per cell.

Cell: 4.860 4.860 7.846 Å, 90.00 90.00 90.00°
Fractional positions:
Ca 0.000 0.000 0.000
Mg 0.000 0.000 0.500
Ga 0.500 0.500 0.345
Ga 0.500 0.500 0.655
Au 0.000 0.500 0.243
Au 0.000 0.500 0.757
Au 0.500 0.000 0.243
Au 0.500 0.000 0.757
Au 0.500 0.500 0.000

=====

Tb3Ga2Si3 | GGA-PBE | optimized geometry

## Properties
For the formation energy (no corrections), the calculation gives -61.4 kJ/mol of atoms. The value obtained for the excess energy over the best structure of this formula in the dataset is 0 meV/atom. As for the symmetry: No. 63. The total moment comes out at 0.00 Bohr magnetons per cell.

Cell: 5.760 5.760 14.945 Å, 90.00 90.00 138.15°
Fractional positions:
Tb 0.068 0.932 0.750
Tb 0.362 0.638 0.594
Tb 0.362 0.638 0.906
Tb 0.638 0.362 0.094
Tb 0.638 0.362 0.406
Tb 0.932 0.068 0.250
Ga 0.350 0.650 0.121
Ga 0.350 0.650 0.379
Ga 0.650 0.350 0.621
Ga 0.650 0.350 0.879
Si 0.078 0.922 0.553
Si 0.078 0.922 0.947
Si 0.203 0.797 0.250
Si 0.797 0.203 0.750
Si 0.922 0.078 0.053
Si 0.922 0.078 0.447